Entry 1:
KRb2HgBr5, optimized geometry, DFT PBE; SG = Cmc2_1, No. 36; electronic total energy = -2.609 eV per atom; spin magnetization = 0.1 Bohr magnetons per cell; V = 680.3 Å³ per cell; energy relative to the elements, uncorrected = -1.309 eV/atom
1.0
4.7002 0.0000 0.0000
-2.3501 9.9034 0.0000
0.0000 0.0000 14.6151
Br Rb K Hg
10 4 2 2
direct
0.6210 0.2420 0.5004
0.3790 0.7580 0.0004
0.9606 0.9212 0.5375
0.4812 0.9624 0.7643
0.6599 0.3198 0.8758
0.7198 0.4396 0.1759
0.2802 0.5604 0.6759
0.0394 0.0788 0.0375
0.3401 0.6802 0.3758
0.5188 0.0376 0.2643
0.1500 0.3001 0.3169
0.1097 0.2194 0.6909
0.8903 0.7806 0.1909
0.8500 0.6999 0.8169
0.7907 0.5814 0.5241
0.2093 0.4186 0.0241
0.4784 0.9569 0.4381
0.5216 0.0431 0.9381

Entry 2:
As3WAu, optimized geometry, DFT PBE; SG = Pm-3m, No. 221; energy of formation from the pure elements = 0.62 eV per atom; electronic total energy = -5.414 eV per atom; spin magnetization = 0.0 Bohr magnetons per cell; ΔE to the lowest computed polymorph = 0 meV per atom; V = 116.2 Å³ per cell
1.0
-1.1453 3.0605 -3.6240
-4.2100 -2.3734 -0.6739
-2.1853 2.9685 3.1975
As Au W
3 1 1
direct
0.0000 0.0000 0.5000
0.5000 0.0000 0.0000
0.0000 0.5000 0.0000
0.5000 0.5000 0.5000
0.0000 0.0000 0.0000

Entry 3:
KIn2F6, optimized geometry, DFT PBE; SG = C2/m, No. 12; electronic total energy = -4.416 eV per atom; spin magnetization = 0.0 Bohr magnetons per cell; ΔE to the lowest computed polymorph = 25 meV per atom; V = 177.5 Å³ per cell; energy relative to the elements, uncorrected = -2.438 eV/atom
1.0
4.3516 0.0000 0.0000
2.1758 5.6227 -0.2196
2.1758 2.1131 7.1716
In F K
2 6 1
direct
0.1748 0.7560 0.8944
0.8252 0.2440 0.1056
0.7014 0.6605 0.9366
0.2986 0.3395 0.0634
0.9917 0.8472 0.1693
0.6657 0.3011 0.3676
0.3343 0.6989 0.6324
0.0083 0.1528 0.8307
0.0000 0.5000 0.5000

Entry 4:
Ba3Ga2Au4, optimized geometry, DFT PBE; SG = C2/m, No. 12; energy of formation from the pure elements = -0.65 eV per atom; electronic total energy = -3.417 eV per atom; spin magnetization = 0.0 Bohr magnetons per cell; V = 262.5 Å³ per cell
1.0
4.7263 0.0000 0.0000
-2.3632 5.9664 -1.4731
0.0000 0.0416 9.2988
Au Ga Ba
4 2 3
direct
0.2858 0.5715 0.9314
0.9343 0.8686 0.6146
0.0657 0.1314 0.3854
0.7142 0.4285 0.0686
0.6145 0.2290 0.2905
0.3855 0.7710 0.7095
0.6626 0.3252 0.6742
0.0000 0.0000 0.0000
0.3374 0.6748 0.3258

Entry 5:
Rb2Pt3Pb5, optimized geometry, DFT PBE; SG = Cmc2_1, No. 36; energy of formation from the pure elements = -0.13 eV per atom; electronic total energy = -3.988 eV per atom; spin magnetization = 0.0 Bohr magnetons per cell; V = 625.8 Å³ per cell
1.0
-0.0159 -4.1643 -0.9942
3.4282 -1.5840 6.5801
-17.1799 0.1227 8.9801
Pt Pb Rb
6 10 4
direct
0.3941 0.0160 0.7883
0.7833 0.7261 0.5665
0.0613 0.9687 0.1227
0.6059 0.5160 0.2117
0.9387 0.4687 0.8773
0.2167 0.2261 0.4335
0.2556 0.5353 0.5113
0.7444 0.0353 0.4887
0.3252 0.8347 0.6504
0.8910 0.7583 0.7819
0.6748 0.3347 0.3496
0.3974 0.3901 0.7947
0.9416 0.1022 0.8832
0.6026 0.8901 0.2053
0.0584 0.6022 0.1168
0.1090 0.2583 0.2181
0.8257 0.2782 0.6514
0.5158 0.2552 0.0316
0.4842 0.7552 0.9684
0.1743 0.7782 0.3486

Entry 6:
Sc3MnSe6, optimized geometry, DFT PBE; SG = R3, No. 146; electronic total energy = -6.216 eV per atom; spin magnetization = 4.0 Bohr magnetons per cell; ΔE to the lowest computed polymorph = 0 meV per atom; V = 236.4 Å³ per cell; energy relative to the elements, uncorrected = -1.309 eV/atom
1.0
-2.2457 -6.2754 -0.4847
3.1119 -4.9247 3.2743
-3.3353 -2.8098 5.7632
Se Sc Mn
6 3 1
direct
0.7475 0.0638 0.7437
0.2357 0.9354 0.2533
0.5755 0.2357 0.2533
0.4451 0.7475 0.7437
0.0638 0.4451 0.7437
0.9354 0.5755 0.2533
0.1569 0.1569 0.5292
0.3423 0.3423 0.9731
0.6563 0.6563 0.0311
0.8414 0.8414 0.4757

Entry 7:
CdSbS4, optimized geometry, DFT PBE; SG = C2/m, No. 12; electronic total energy = -3.720 eV per atom; spin magnetization = 0.6 Bohr magnetons per cell; V = 350.0 Å³ per cell; energy relative to the elements, uncorrected = -0.128 eV/atom
1.0
5.1113 0.2153 0.3985
-0.1921 5.1123 0.3985
0.6534 0.7076 13.4785
Sb S Cd
2 8 2
direct
0.2978 0.2978 0.6993
0.7022 0.7022 0.3007
0.6376 0.6376 0.0000
0.6447 0.6447 0.4867
0.7225 0.2199 0.2604
0.7801 0.2775 0.7396
0.3553 0.3553 0.5133
0.3624 0.3624 0.0000
0.2775 0.7801 0.7396
0.2199 0.7225 0.2604
0.7596 0.7596 0.8099
0.2404 0.2404 0.1901

Entry 8:
Tb7Dy12Zr, optimized geometry, DFT PBE; SG = R-3, No. 148; energy of formation from the pure elements = 0.26 eV per atom; electronic total energy = -4.545 eV per atom; spin magnetization = 0.0 Bohr magnetons per cell; ΔE to the lowest computed polymorph = 0 meV per atom; V = 644.0 Å³ per cell
1.0
8.4618 0.9643 1.4474
-1.4266 8.3962 1.4474
-1.4266 -1.8982 8.3059
Dy Tb Zr
12 7 1
direct
0.7841 0.2386 0.6377
0.7614 0.3623 0.2159
0.2386 0.6377 0.7841
0.3719 0.4475 0.1273
0.5525 0.8727 0.6281
0.8727 0.6281 0.5525
0.6377 0.7841 0.2386
0.4475 0.1273 0.3719
0.6281 0.5525 0.8727
0.3623 0.2159 0.7614
0.2159 0.7614 0.3623
0.1273 0.3719 0.4475
0.9588 0.6670 0.0551
0.6670 0.0551 0.9588
0.9449 0.0412 0.3330
0.5000 0.5000 0.5000
0.3330 0.9449 0.0412
0.0412 0.3330 0.9449
0.0551 0.9588 0.6670
0.0000 0.0000 0.0000

Question: What is the V in the sixth record?
Answer: 236.4 Å³ per cell

Question: Which formula does entry 1 have?
Answer: KRb2HgBr5

Question: Number 8 is which compound?
Answer: Tb7Dy12Zr

Question: The lowest V belongs to which entry?
Answer: As3WAu